Compound: Sm2Y7Th3
Source: Alexandria via LeMat-Bulk
Functional: PBE
Structure: optimized geometry

a = 3.594 Å, b = 5.931 Å, c = 19.063 Å
α = 98.95°, β = 90.00°, γ = 90.00°
Positions (direct):
1 Sm 0.000 0.826 0.652
2 Sm 0.000 0.174 0.348
3 Y 0.000 0.426 0.852
4 Y 0.000 0.727 0.455
5 Y 0.000 0.000 0.000
6 Y 0.000 0.574 0.148
7 Y 0.500 0.089 0.178
8 Y 0.500 0.911 0.822
9 Y 0.000 0.273 0.545
10 Th 0.500 0.500 0.000
11 Th 0.500 0.651 0.303
12 Th 0.500 0.349 0.697

Values from the calculation:
- ΔE_f: 179.4 meV/atom

Compound: MnPbCl
Source: Alexandria via LeMat-Bulk
Functional: PBE
Structure: optimized geometry

a = 4.740 Å, b = 4.740 Å, c = 3.469 Å
α = 90.00°, β = 90.00°, γ = 120.00°
Positions (direct):
1 Cl 0.000 0.000 0.166
2 Mn 0.333 0.667 0.167
3 Pb 0.667 0.333 0.666

Values from the calculation:
- ΔE_f (raw): 110 meV per atom
- Energy relative to the lowest polymorph listed for this composition: 391 meV per atom

Compound: Ru2Pt4Pb
Source: Alexandria via LeMat-Bulk
Functional: PBE
Structure: optimized geometry

a = 5.039 Å, b = 5.039 Å, c = 7.250 Å
α = 69.66°, β = 69.66°, γ = 90.00°
Positions (direct):
1 Pb 0.000 0.000 0.000
2 Ru 0.592 0.592 0.815
3 Ru 0.408 0.408 0.185
4 Pt 0.780 0.780 0.440
5 Pt 0.220 0.220 0.560
6 Pt 0.000 0.500 0.000
7 Pt 0.500 0.000 0.000

Values from the calculation:
- ΔE_f: 1304.2 meV/atom

Compound: Zn2Co2Cu
Source: Alexandria via LeMat-Bulk
Functional: PBE
Structure: optimized geometry

a = 7.025 Å, b = 7.025 Å, c = 2.635 Å
α = 90.00°, β = 90.00°, γ = 90.00°
Positions (direct):
1 Zn 0.182 0.682 0.500
2 Zn 0.682 0.818 0.500
3 Zn 0.818 0.318 0.500
4 Zn 0.318 0.182 0.500
5 Co 0.386 0.886 0.000
6 Co 0.886 0.614 0.000
7 Co 0.614 0.114 0.000
8 Co 0.114 0.386 0.000
9 Cu 0.000 0.000 0.000
10 Cu 0.500 0.500 0.000

Values from the calculation:
- ΔE_f: 179.5 meV/atom
- Energy relative to the lowest polymorph listed for this composition: 0 meV per atom

Compound: KYCl4
Source: Alexandria via LeMat-Bulk
Functional: PBE
Structure: optimized geometry

a = 6.031 Å, b = 6.031 Å, c = 6.031 Å
α = 60.00°, β = 60.00°, γ = 60.00°
Positions (direct):
1 K 0.750 0.750 0.750
2 Y 0.000 0.000 0.000
3 Cl 0.875 0.375 0.375
4 Cl 0.375 0.375 0.875
5 Cl 0.375 0.875 0.375
6 Cl 0.375 0.375 0.375

Values from the calculation:
- ΔE_f (raw): -580 meV per atom
- Energy relative to the lowest polymorph listed for this composition: 1599 meV per atom

Compound: CePdPbSe3
Source: Alexandria via LeMat-Bulk
Functional: PBE
Structure: optimized geometry

a = 4.200 Å, b = 8.601 Å, c = 9.179 Å
α = 103.50°, β = 90.00°, γ = 90.00°
Positions (direct):
1 Ce 0.250 0.675 0.176
2 Ce 0.750 0.325 0.824
3 Pd 0.250 0.106 0.547
4 Pd 0.750 0.894 0.453
5 Pb 0.250 0.168 0.242
6 Pb 0.750 0.832 0.758
7 Se 0.750 0.900 0.146
8 Se 0.250 0.100 0.854
9 Se 0.250 0.745 0.491
10 Se 0.750 0.255 0.509
11 Se 0.750 0.433 0.155
12 Se 0.250 0.567 0.845

Values from the calculation:
- ΔE_f (raw): -1006 meV per atom

Compound: TaTiFe2
Source: Alexandria via LeMat-Bulk
Functional: PBE
Structure: optimized geometry

a = 3.018 Å, b = 4.259 Å, c = 4.259 Å
α = 90.00°, β = 90.00°, γ = 90.00°
Positions (direct):
1 Ti 0.500 0.000 0.000
2 Fe 0.000 0.000 0.500
3 Fe 0.000 0.500 0.000
4 Ta 0.500 0.500 0.500

Values from the calculation:
- ΔE_f: -276.2 meV/atom
- Energy relative to the lowest polymorph listed for this composition: 2 meV per atom

Compound: BeOsRu
Source: Alexandria via LeMat-Bulk
Functional: PBE
Structure: optimized geometry

a = 4.660 Å, b = 4.219 Å, c = 7.731 Å
α = 90.00°, β = 90.00°, γ = 90.00°
Positions (direct):
1 Ru 0.817 0.250 0.521
2 Ru 0.683 0.750 0.021
3 Ru 0.183 0.750 0.479
4 Ru 0.317 0.250 0.979
5 Os 0.329 0.250 0.317
6 Os 0.171 0.750 0.817
7 Os 0.671 0.750 0.683
8 Os 0.829 0.250 0.183
9 Be 0.832 0.250 0.854
10 Be 0.668 0.750 0.354
11 Be 0.168 0.750 0.146
12 Be 0.332 0.250 0.646

Values from the calculation:
- ΔE_f: 40.3 meV/atom

Compound: ThScPa2P4
Source: Alexandria via LeMat-Bulk
Functional: PBE
Structure: optimized geometry

a = 3.987 Å, b = 6.865 Å, c = 6.887 Å
α = 70.43°, β = 90.00°, γ = 90.00°
Positions (direct):
1 Th 0.000 0.500 0.500
2 Sc 0.500 0.500 0.000
3 Pa 0.000 0.000 0.000
4 Pa 0.500 0.000 0.500
5 P 0.000 0.747 0.762
6 P 0.000 0.253 0.238
7 P 0.500 0.754 0.236
8 P 0.500 0.246 0.764

Values from the calculation:
- ΔE_f: -1375.8 meV/atom

Compound: Sm7Dy2Y3
Source: Alexandria via LeMat-Bulk
Functional: PBE
Structure: optimized geometry

a = 6.585 Å, b = 6.585 Å, c = 11.760 Å
α = 73.74°, β = 73.74°, γ = 60.00°
Positions (direct):
1 Sm 0.500 0.500 0.500
2 Sm 0.078 0.588 0.746
3 Sm 0.588 0.588 0.746
4 Sm 0.588 0.078 0.746
5 Sm 0.922 0.412 0.254
6 Sm 0.412 0.922 0.254
7 Sm 0.412 0.412 0.254
8 Dy 0.334 0.334 0.997
9 Dy 0.666 0.666 0.003
10 Y 0.000 0.000 0.000
11 Y 0.151 0.151 0.547
12 Y 0.849 0.849 0.453

Values from the calculation:
- ΔE_f: 274.7 meV/atom
- Energy relative to the lowest polymorph listed for this composition: 190 meV per atom

Compound: Tb12Y7Th
Source: Alexandria via LeMat-Bulk
Functional: PBE
Structure: optimized geometry

a = 9.855 Å, b = 9.855 Å, c = 9.855 Å
α = 109.47°, β = 109.47°, γ = 109.47°
Positions (direct):
1 Tb 0.553 0.777 0.776
2 Tb 0.001 0.777 0.224
3 Tb 0.447 0.223 0.224
4 Tb 0.999 0.223 0.776
5 Tb 0.776 0.999 0.223
6 Tb 0.776 0.553 0.777
7 Tb 0.224 0.001 0.777
8 Tb 0.224 0.447 0.223
9 Tb 0.777 0.776 0.553
10 Tb 0.223 0.224 0.447
11 Tb 0.777 0.224 0.001
12 Tb 0.223 0.776 0.999
13 Y 0.500 0.500 0.000
14 Y 0.000 0.500 0.500
15 Y 0.500 0.000 0.500
16 Y 0.500 0.500 0.500
17 Y 0.000 0.000 0.500
18 Y 0.500 0.000 0.000
19 Y 0.000 0.500 0.000
20 Th 0.000 0.000 0.000

Values from the calculation:
- ΔE_f: 744.2 meV/atom
- Energy relative to the lowest polymorph listed for this composition: 517 meV per atom

Compound: BaCrNi
Source: Alexandria via LeMat-Bulk
Functional: PBE
Structure: optimized geometry

a = 4.861 Å, b = 4.861 Å, c = 4.861 Å
α = 60.00°, β = 60.00°, γ = 60.00°
Positions (direct):
1 Ni 0.500 0.500 0.500
2 Ba 0.750 0.750 0.750
3 Cr 0.250 0.250 0.250

Values from the calculation:
- ΔE_f: 793.7 meV/atom
- Energy relative to the lowest polymorph listed for this composition: 529 meV per atom